[1]
An optimized crystal structure of Y4Er8Cd. Source: the Alexandria database, functional PBE-GGA.

Cell and atoms, written as CIF:
```
data_Y4Er8Cd
_chemical_formula_sum 'Y4 Er8 Cd1'
_cell_length_a 6.239
_cell_length_b 6.239
_cell_length_c 13.809
_cell_angle_alpha 98.85
_cell_angle_beta 98.85
_cell_angle_gamma 48.45
_space_group_name_H-M_alt 'P 1'
_space_group_IT_number 1
_space_group_name_Hall 'P 1'
loop_
_atom_site_label
_atom_site_type_symbol
_atom_site_fract_x
_atom_site_fract_y
_atom_site_fract_z
Y1 Y 0.089 0.089 0.137
Y2 Y 0.343 0.343 0.459
Y3 Y 0.657 0.657 0.541
Y4 Y 0.911 0.911 0.863
Er1 Er 0.027 0.027 0.377
Er2 Er 0.227 0.227 0.928
Er3 Er 0.285 0.285 0.698
Er4 Er 0.402 0.402 0.214
Er5 Er 0.598 0.598 0.786
Er6 Er 0.715 0.715 0.302
Er7 Er 0.773 0.773 0.072
Er8 Er 0.973 0.973 0.623
Cd1 Cd 0.500 0.500 0.000
```

***

[2]
An optimized crystal structure of YEr6Cd. Source: the Alexandria database, functional PBE-GGA.

Cell and atoms, written as CIF:
```
data_YEr6Cd
_chemical_formula_sum 'Y1 Er6 Cd1'
_cell_length_a 6.245
_cell_length_b 6.245
_cell_length_c 6.245
_cell_angle_alpha 94.62
_cell_angle_beta 94.62
_cell_angle_gamma 94.62
_space_group_name_H-M_alt 'P 1'
_space_group_IT_number 1
_space_group_name_Hall 'P 1'
loop_
_atom_site_label
_atom_site_type_symbol
_atom_site_fract_x
_atom_site_fract_y
_atom_site_fract_z
Y1 Y 0.000 0.000 0.000
Er1 Er 0.050 0.541 0.259
Er2 Er 0.259 0.050 0.541
Er3 Er 0.459 0.741 0.950
Er4 Er 0.541 0.259 0.050
Er5 Er 0.741 0.950 0.459
Er6 Er 0.950 0.459 0.741
Cd1 Cd 0.500 0.500 0.500
```

***

[3]
An optimized crystal structure of YEr4Cd2. Source: the Alexandria database, functional PBE-GGA.

Cell and atoms, written as CIF:
```
data_YEr4Cd2
_chemical_formula_sum 'Y1 Er4 Cd2'
_cell_length_a 10.597
_cell_length_b 10.597
_cell_length_c 10.597
_cell_angle_alpha 27.63
_cell_angle_beta 27.63
_cell_angle_gamma 27.63
_space_group_name_H-M_alt 'P 1'
_space_group_IT_number 1
_space_group_name_Hall 'P 1'
loop_
_atom_site_label
_atom_site_type_symbol
_atom_site_fract_x
_atom_site_fract_y
_atom_site_fract_z
Y1 Y 0.000 0.000 0.000
Er1 Er 0.202 0.202 0.202
Er2 Er 0.395 0.395 0.395
Er3 Er 0.605 0.605 0.605
Er4 Er 0.798 0.798 0.798
Cd1 Cd 0.100 0.100 0.100
Cd2 Cd 0.900 0.900 0.900
```

***

| no. | total magnetic moment (μB/cell) | VASP energy (eV per atom) |
| --- | --- | --- |
| 1 | 0.0 | -4.867 |
| 2 | 0.0 | -4.284 |
| 3 | 0.0 | -3.574 |